Entry 1:
## NpPaBiTe (GGA-PBE)

Data for a relaxed structure of NpPaBiTe.

Cell and atoms, written as CIF:
```
data_NpPaBiTe
_chemical_formula_sum 'Np4 Pa4 Bi4 Te4'
_cell_length_a 7.618
_cell_length_b 7.618
_cell_length_c 7.618
_cell_angle_alpha 90.00
_cell_angle_beta 90.00
_cell_angle_gamma 90.00
_space_group_name_H-M_alt 'P 1'
_space_group_IT_number 1
loop_
_space_group_symop_operation_xyz
'x,y,z'
loop_
_atom_site_label
_atom_site_fract_x
_atom_site_fract_y
_atom_site_fract_z
Np1 0.000 0.000 0.000
Np2 0.000 0.500 0.500
Np3 0.500 0.000 0.500
Np4 0.500 0.500 0.000
Pa1 0.000 0.000 0.500
Pa2 0.000 0.500 0.000
Pa3 0.500 0.000 0.000
Pa4 0.500 0.500 0.500
Bi1 0.250 0.250 0.750
Bi2 0.250 0.750 0.250
Bi3 0.750 0.250 0.250
Bi4 0.750 0.750 0.750
Te1 0.250 0.250 0.250
Te2 0.250 0.750 0.750
Te3 0.750 0.250 0.750
Te4 0.750 0.750 0.250
```

Summary:
Electronic total energy   -30.6 eV per formula unit
Mass density   12.1 g cm⁻³

---

Entry 2:
## Np2BiPd (GGA-PBE)

Data for a relaxed structure of Np2BiPd.

Cell and atoms, written as CIF:
```
data_Np2BiPd
_chemical_formula_sum 'Np2 Bi1 Pd1'
_cell_length_a 4.296
_cell_length_b 4.296
_cell_length_c 4.936
_cell_angle_alpha 90.00
_cell_angle_beta 90.00
_cell_angle_gamma 90.00
_space_group_name_H-M_alt 'P 1'
_space_group_IT_number 1
loop_
_space_group_symop_operation_xyz
'x,y,z'
loop_
_atom_site_label
_atom_site_fract_x
_atom_site_fract_y
_atom_site_fract_z
Np1 0.000 0.500 0.000
Np2 0.500 0.000 0.000
Bi1 0.000 0.000 0.500
Pd1 0.500 0.500 0.500
```

Summary:
Electronic total energy   -35.1 eV per formula unit
Mass density   14.4 g cm⁻³
Formation energy from the elements   -0.1 eV per formula unit

---

Entry 3:
## NpBiPd6 (GGA-PBE)

Data for a relaxed structure of NpBiPd6.

Cell and atoms, written as CIF:
```
data_NpBiPd6
_chemical_formula_sum 'Np1 Bi1 Pd6'
_cell_length_a 4.147
_cell_length_b 4.147
_cell_length_c 8.264
_cell_angle_alpha 90.00
_cell_angle_beta 90.00
_cell_angle_gamma 90.00
_space_group_name_H-M_alt 'P 1'
_space_group_IT_number 1
loop_
_space_group_symop_operation_xyz
'x,y,z'
loop_
_atom_site_label
_atom_site_fract_x
_atom_site_fract_y
_atom_site_fract_z
Np1 0.000 0.000 0.000
Bi1 0.000 0.000 0.500
Pd1 0.000 0.500 0.244
Pd2 0.000 0.500 0.756
Pd3 0.500 0.000 0.244
Pd4 0.500 0.000 0.756
Pd5 0.500 0.500 0.000
Pd6 0.500 0.500 0.500
```

Summary:
Electronic total energy   -50.7 eV per formula unit
Mass density   12.7 g cm⁻³
Formation energy from the elements   -2.7 eV per formula unit

---

Entry 4:
## NpBi2Pd (GGA-PBE)

Data for a relaxed structure of NpBi2Pd.

Cell and atoms, written as CIF:
```
data_NpBi2Pd
_chemical_formula_sum 'Np3 Bi6 Pd3'
_cell_length_a 3.399
_cell_length_b 3.399
_cell_length_c 32.271
_cell_angle_alpha 90.00
_cell_angle_beta 90.00
_cell_angle_gamma 120.00
_space_group_name_H-M_alt 'P 1'
_space_group_IT_number 1
loop_
_space_group_symop_operation_xyz
'x,y,z'
loop_
_atom_site_label
_atom_site_fract_x
_atom_site_fract_y
_atom_site_fract_z
Np1 0.000 0.000 0.000
Np2 0.333 0.667 0.667
Np3 0.667 0.333 0.333
Bi1 0.000 0.000 0.101
Bi2 0.000 0.000 0.899
Bi3 0.333 0.667 0.566
Bi4 0.333 0.667 0.768
Bi5 0.667 0.333 0.232
Bi6 0.667 0.333 0.434
Pd1 0.000 0.000 0.500
Pd2 0.333 0.667 0.167
Pd3 0.667 0.333 0.833
```

Summary:
Electronic total energy   -25.0 eV per formula unit
Mass density   11.7 g cm⁻³
Formation energy from the elements   0.9 eV per formula unit